[1]
Y2Ni21B6 after structural relaxation. Source: Alexandria via LeMat-Bulk, functional PBE-GGA.

Output
volume = 10.5 Å³ per atom
formation energy = -0.33 eV per atom
uncorrected energy = -6.342 eV/atom

```
data_Y2Ni21B6
_cell_length_a 10.6918
_cell_length_b 10.6918
_cell_length_c 10.6918
_cell_angle_alpha 90.00
_cell_angle_beta 90.00
_cell_angle_gamma 90.00
_space_group_name_H-M_alt 'F m -3 m'
_space_group_IT_number 225
_space_group_name_Hall '-F 4 2 3'
loop_
_atom_site_label
_atom_site_type_symbol
_atom_site_fract_x
_atom_site_fract_y
_atom_site_fract_z
Y1 Y 0.2500 0.2500 0.2500
Ni1 Ni 0.0000 0.0000 0.0000
Ni2 Ni 0.0000 0.1681 0.1681
Ni3 Ni 0.1117 0.1117 0.3883
B1 B 0.0000 0.0000 0.2703
```

=====

[2]
YNi4B2 after structural relaxation. Source: Alexandria via LeMat-Bulk, functional PBE-GGA.

Output
volume = 11.2 Å³ per atom
formation energy = -0.40 eV per atom
uncorrected energy = -6.532 eV/atom
energy above the lowest structure with this stoichiometry = 0 meV/atom

```
data_YNi4B2
_cell_length_a 6.8831
_cell_length_b 6.8831
_cell_length_c 3.3088
_cell_angle_alpha 90.00
_cell_angle_beta 90.00
_cell_angle_gamma 90.00
_space_group_name_H-M_alt 'P 42/m n m'
_space_group_IT_number 136
_space_group_name_Hall '-P 4n 2n'
loop_
_atom_site_label
_atom_site_type_symbol
_atom_site_fract_x
_atom_site_fract_y
_atom_site_fract_z
Y1 Y 0.0000 0.0000 0.0000
Ni1 Ni 0.0845 0.3314 0.5000
B1 B 0.2261 0.7739 0.5000
```

=====

[3]
YNi2B2 after structural relaxation. Source: Alexandria via LeMat-Bulk, functional PBE-GGA.

Output
volume = 12.2 Å³ per atom
formation energy = -0.56 eV per atom
uncorrected energy = -6.834 eV/atom

```
data_YNi2B2
_cell_length_a 8.4037
_cell_length_b 5.3187
_cell_length_c 6.8466
_cell_angle_alpha 90.00
_cell_angle_beta 126.95
_cell_angle_gamma 90.00
_space_group_name_H-M_alt 'C 1 2/c 1'
_space_group_IT_number 15
loop_
_space_group_symop_operation_xyz
'x,y,z'
'-x,-y,-z'
'-x,y,-z+1/2'
'x,-y,z+1/2'
'x+1/2,y+1/2,z'
'-x+1/2,-y+1/2,-z'
'-x+1/2,y+1/2,-z+1/2'
'x+1/2,-y+1/2,z+1/2'
loop_
_atom_site_label
_atom_site_type_symbol
_atom_site_fract_x
_atom_site_fract_y
_atom_site_fract_z
Y1 Y 0.0000 0.1162 0.2500
Ni1 Ni 0.1265 0.4068 0.7006
B1 B 0.1705 0.3245 0.0249
```

=====

[4]
Y2Ni12B7 after structural relaxation. Source: Alexandria via LeMat-Bulk, functional PBE-GGA.

Output
volume = 10.3 Å³ per atom
formation energy = -0.37 eV per atom
uncorrected energy = -6.511 eV/atom

```
data_Y2Ni12B7
_cell_length_a 8.6384
_cell_length_b 8.6384
_cell_length_c 3.3475
_cell_angle_alpha 90.00
_cell_angle_beta 90.00
_cell_angle_gamma 120.00
_space_group_name_H-M_alt 'P -6'
_space_group_IT_number 174
loop_
_space_group_symop_operation_xyz
'x,y,z'
'-x+y,-x,-z'
'-y,x-y,z'
'x,y,-z'
'-x+y,-x,z'
'-y,x-y,-z'
loop_
_atom_site_label
_atom_site_type_symbol
_atom_site_fract_x
_atom_site_fract_y
_atom_site_fract_z
Y1 Y 0.0000 0.0000 0.0000
Y2 Y 0.3333 0.6667 0.5000
Ni1 Ni 0.0511 0.2857 0.5000
Ni2 Ni 0.0994 0.7111 0.0000
Ni3 Ni 0.3995 0.1825 0.0000
Ni4 Ni 0.5347 0.4337 0.5000
B1 B 0.0613 0.4424 0.0000
B2 B 0.2742 0.2273 0.5000
B3 B 0.6667 0.3333 0.0000
```

=====

[5]
YNi2B2 after structural relaxation. Source: Alexandria via LeMat-Bulk, functional PBE-GGA.

Output
volume = 12.1 Å³ per atom
formation energy = -0.44 eV per atom
uncorrected energy = -6.716 eV/atom

```
data_YNi2B2
_cell_length_a 9.7336
_cell_length_b 3.2516
_cell_length_c 3.9307
_cell_angle_alpha 90.00
_cell_angle_beta 103.29
_cell_angle_gamma 90.00
_space_group_name_H-M_alt 'C 1 2/m 1'
_space_group_IT_number 12
loop_
_space_group_symop_operation_xyz
'x,y,z'
'-x,-y,-z'
'-x,y,-z'
'x,-y,z'
'x+1/2,y+1/2,z'
'-x+1/2,-y+1/2,-z'
'-x+1/2,y+1/2,-z'
'x+1/2,-y+1/2,z'
loop_
_atom_site_label
_atom_site_type_symbol
_atom_site_fract_x
_atom_site_fract_y
_atom_site_fract_z
Y1 Y 0.0000 0.0000 0.0000
Ni1 Ni 0.1707 0.5000 0.5951
B1 B 0.2337 0.5000 0.1226
```

=====

[6]
YNi6B after structural relaxation. Source: Alexandria via LeMat-Bulk, functional PBE-GGA.

Output
volume = 13.0 Å³ per atom
formation energy = -0.14 eV per atom
uncorrected energy = -6.116 eV/atom

```
data_YNi6B
_cell_length_a 5.2989
_cell_length_b 5.2989
_cell_length_c 12.8014
_cell_angle_alpha 90.00
_cell_angle_beta 90.00
_cell_angle_gamma 120.00
_space_group_name_H-M_alt 'R -3 m'
_space_group_IT_number 166
_space_group_name_Hall '-R 3 2"'
loop_
_atom_site_label
_atom_site_type_symbol
_atom_site_fract_x
_atom_site_fract_y
_atom_site_fract_z
Y1 Y 0.0000 0.0000 0.0000
Ni1 Ni 0.0293 0.5147 0.9096
B1 B 0.0000 0.0000 0.5000
```